[1]
Material: BTeIr3
Method: DFT, PBE
State: optimized geometry

The structure in extended XYZ format:
```
5
Lattice="-4.273 -2.254 0.639 1.879 -4.090 -1.867 1.400 -1.390 4.455" Properties=species:S:1:pos:R:3 pbc="T T T"
Ir 0.700 -0.695 2.228
Ir -2.136 -1.127 0.320
Ir 0.939 -2.045 -0.933
Te 0.000 0.000 0.000
B -0.497 -3.867 1.614
```

## Properties
The value obtained for the total energy is -4.71 eV per atom. The magnetization comes out at 0.00 μB/cell. Its space group is Pm-3m (221). The value obtained for the uncorrected formation energy is 2.5658 eV per atom. Its energy above the most stable polymorph in this dataset is 2199.6 meV per atom.


[2]
Material: NbGaHgIr2
Method: DFT, PBE
State: optimized geometry

The structure in extended XYZ format:
```
5
Lattice="-3.437 2.707 -1.264 -1.351 -3.239 -3.264 -2.698 -1.984 3.086" Properties=species:S:1:pos:R:3 pbc="T T T"
Ir -1.718 1.354 -0.632
Ir -1.349 -0.992 1.543
Hg -0.675 -1.619 -1.632
Ga 0.000 0.000 0.000
Nb -3.743 -1.258 -0.721
```

## Properties
The value obtained for the total energy is -5.14 eV per atom. The magnetization comes out at 1.31 μB/cell. Its space group is P4/mmm (123). The formation enthalpy at 0 K comes out at 1.09 eV per atom.


[3]
Material: RbMgAs2Pt4
Method: DFT, PBE
State: optimized geometry

The structure in extended XYZ format:
```
8
Lattice="4.088 0.000 0.000 0.000 4.088 0.000 0.000 0.000 10.494" Properties=species:S:1:pos:R:3 pbc="T T T"
Pt 2.044 0.000 1.775
Pt 0.000 2.044 8.719
Pt 2.044 0.000 8.719
Pt 0.000 2.044 1.775
Mg 0.000 0.000 0.000
As 2.044 2.044 3.125
As 2.044 2.044 7.369
Rb 0.000 0.000 5.247
```

## Properties
The value obtained for the total energy is -4.98 eV per atom. The magnetization comes out at 0.00 μB/cell. Its space group is P4/mmm (123). The formation enthalpy at 0 K comes out at -0.48 eV per atom.


[4]
Material: SmMg2Cu
Method: DFT, PBE
State: optimized geometry

The structure in extended XYZ format:
```
4
Lattice="-0.776 -2.403 -2.000 1.444 -2.865 0.288 -7.270 -4.865 6.071" Properties=species:S:1:pos:R:3 pbc="T T T"
Sm 0.000 0.000 0.000
Mg -4.931 -3.894 3.998
Mg -1.670 -6.238 0.361
Cu -3.301 -5.066 2.179
```

## Properties
The value obtained for the total energy is -2.75 eV per atom. The magnetization comes out at 0.00 μB/cell. Its space group is R-3m (166). The formation enthalpy at 0 K comes out at 0.25 eV per atom.


[5]
Material: Na3TiSn2Te6
Method: DFT, PBE
State: optimized geometry

The structure in extended XYZ format:
```
12
Lattice="7.546 -0.003 -0.006 -3.774 6.534 -0.006 -1.265 -2.190 7.437" Properties=species:S:1:pos:R:3 pbc="T T T"
Sn 3.747 2.191 -0.006
Sn 0.025 4.340 -0.006
Na -2.375 4.267 3.712
Na 4.883 0.075 3.712
Na 1.254 2.171 3.712
Te 0.197 4.348 5.800
Te -1.160 1.997 1.624
Te 2.310 -0.007 1.624
Te 3.668 2.344 5.800
Te 2.626 4.547 1.636
Te -0.119 -0.205 5.788
Ti 0.000 0.000 0.000
```

## Properties
The value obtained for the total energy is -3.85 eV per atom. The magnetization comes out at 0.00 μB/cell. Its space group is C2/m (12). The value obtained for the uncorrected formation energy is -0.6287 eV per atom.


[6]
Material: KLaZr2
Method: DFT, PBE
State: optimized geometry

The structure in extended XYZ format:
```
4
Lattice="5.966 0.000 0.000 0.000 5.966 0.000 0.000 0.000 3.409" Properties=species:S:1:pos:R:3 pbc="T T T"
Zr 0.000 0.000 0.000
Zr 2.983 2.983 0.000
K 2.983 0.000 1.704
La 0.000 2.983 1.704
```

## Properties
The value obtained for the total energy is -4.84 eV per atom. The magnetization comes out at 0.13 μB/cell. Its space group is P4/mmm (123). Its energy above the most stable polymorph in this dataset is 616.2 meV per atom. The formation enthalpy at 0 K comes out at 0.94 eV per atom.


[7]
Material: DyAgSnPb
Method: DFT, PBE
State: optimized geometry

The structure in extended XYZ format:
```
4
Lattice="-1.383 4.683 2.064 -2.831 0.191 4.477 2.255 1.687 4.491" Properties=species:S:1:pos:R:3 pbc="T T T"
Dy 0.000 0.000 0.000
Sn -0.490 1.640 2.758
Pb -0.979 3.280 5.516
Ag -1.469 4.921 8.274
```

## Properties
The value obtained for the total energy is -3.95 eV per atom. The magnetization comes out at 0.00 μB/cell. Its space group is F-43m (216). The formation enthalpy at 0 K comes out at -0.16 eV per atom.


[8]
Material: P2AuCl
Method: DFT, PBE
State: optimized geometry

The structure in extended XYZ format:
```
4
Lattice="-2.478 0.536 1.492 -2.028 -5.148 -1.519 1.753 -1.733 3.533" Properties=species:S:1:pos:R:3 pbc="T T T"
Au -0.363 -0.598 2.513
P 0.000 0.000 0.000
P -2.253 -2.306 -0.014
Cl -0.138 -3.441 1.007
```

## Properties
The value obtained for the total energy is -3.35 eV per atom. The magnetization comes out at 0.00 μB/cell. Its space group is Pmmm (47). The value obtained for the uncorrected formation energy is 0.6379 eV per atom. Its energy above the most stable polymorph in this dataset is 642.4 meV per atom.


[9]
Material: Li4BeRe
Method: DFT, PBE
State: optimized geometry

The structure in extended XYZ format:
```
6
Lattice="0.000 3.340 3.340 3.340 0.000 3.340 3.340 3.340 0.000" Properties=species:S:1:pos:R:3 pbc="T T T"
Re 5.010 5.010 5.010
Li 2.506 4.174 4.174
Li 4.174 2.506 4.174
Li 4.174 4.174 2.506
Li 2.506 2.506 2.506
Be 0.000 0.000 0.000
```

## Properties
The value obtained for the total energy is -3.33 eV per atom. The magnetization comes out at 0.81 μB/cell. Its space group is F-43m (216). The formation enthalpy at 0 K comes out at 0.65 eV per atom.


[10]
Material: Cs2NaHfTe4
Method: DFT, PBE
State: optimized geometry

The structure in extended XYZ format:
```
16
Lattice="-6.711 -2.859 -1.064 -1.226 -7.487 2.317 -7.390 3.231 12.394" Properties=species:S:1:pos:R:3 pbc="T T T"
Cs -10.757 -2.637 11.094
Cs -5.974 1.595 7.858
Cs -7.925 -5.908 2.022
Cs -8.127 -1.224 3.473
Te -13.937 -5.676 11.778
Te -3.573 -6.205 2.906
Te -8.858 -1.785 7.595
Te -5.272 -3.093 1.254
Te -10.731 -5.712 8.427
Te -4.069 -1.179 5.304
Te -7.872 0.743 11.356
Te -6.994 -5.555 5.968
Hf 0.000 0.000 0.000
Hf -9.341 -4.273 6.558
Na -3.356 -1.430 -0.532
Na -5.986 -2.843 7.089
```

## Properties
The value obtained for the total energy is -4.05 eV per atom. The magnetization comes out at 0.00 μB/cell. Its space group is Fddd (70). The value obtained for the uncorrected formation energy is -0.8543 eV per atom.